# 1
# AsPW | Alexandria | PBE-GGA | relaxed
# Crystal system = hexagonal
# Raw total energy = -22.2 eV for the cell shown
# ΔE to the lowest computed polymorph = 304 meV per atom
# M_tot = 0.000 μB/cell
data_AsPW
_chemical_formula_sum 'As1 P1 W1'
_symmetry_space_group_name_H-M 'P -6 m 2'
_symmetry_Int_Tables_number 187
_symmetry_space_group_name_Hall 'P -6 2'
_cell_length_a 4.2083
_cell_length_b 4.2083
_cell_length_c 3.1691
_cell_angle_alpha 90.00
_cell_angle_beta 90.00
_cell_angle_gamma 120.00
loop_
_atom_site_label
_atom_site_fract_x
_atom_site_fract_y
_atom_site_fract_z
As1 0.0000 0.0000 0.0000
P1 0.6667 0.3333 0.5000
W1 0.3333 0.6667 0.5000

***

# 2
# AsPW | Alexandria | PBE-GGA | relaxed
# Crystal system = cubic
# Raw total energy = -81.0 eV for the cell shown
# ΔE to the lowest computed polymorph = 953 meV per atom
# M_tot = 0.000 μB/cell
data_AsPW
_chemical_formula_sum 'As4 P4 W4'
_symmetry_space_group_name_H-M 'F -4 3 m'
_symmetry_Int_Tables_number 216
_symmetry_space_group_name_Hall 'F -4 2 3'
_cell_length_a 5.9773
_cell_length_b 5.9773
_cell_length_c 5.9773
_cell_angle_alpha 90.00
_cell_angle_beta 90.00
_cell_angle_gamma 90.00
loop_
_atom_site_label
_atom_site_fract_x
_atom_site_fract_y
_atom_site_fract_z
As1 0.0000 0.0000 0.0000
P1 0.2500 0.2500 0.2500
W1 0.2500 0.2500 0.7500

***

# 3
# ZnAs2PW | Alexandria | PBE-GGA | relaxed
# Crystal system = tetragonal
# Raw total energy = -24.3 eV for the cell shown
# M_tot = 1.533 μB/cell
data_ZnAs2PW
_chemical_formula_sum 'Zn1 As2 P1 W1'
_symmetry_space_group_name_H-M 'P 4/m m m'
_symmetry_Int_Tables_number 123
_symmetry_space_group_name_Hall '-P 4 2'
_cell_length_a 4.8312
_cell_length_b 4.8312
_cell_length_c 5.0570
_cell_angle_alpha 90.00
_cell_angle_beta 90.00
_cell_angle_gamma 90.00
loop_
_atom_site_label
_atom_site_fract_x
_atom_site_fract_y
_atom_site_fract_z
Zn1 0.0000 0.0000 0.0000
As1 0.0000 0.5000 0.5000
P1 0.5000 0.5000 0.0000
W1 0.0000 0.0000 0.5000

***

# 4
# YAs2P | Alexandria | PBE-GGA | relaxed
# Crystal system = orthorhombic
# Raw total energy = -46.4 eV for the cell shown
# M_tot = 0.000 μB/cell
data_YAs2P
_chemical_formula_sum 'Y2 As4 P2'
_symmetry_space_group_name_H-M 'I m m m'
_symmetry_Int_Tables_number 71
_symmetry_space_group_name_Hall '-I 2 2'
_cell_length_a 3.9016
_cell_length_b 4.0413
_cell_length_c 10.2457
_cell_angle_alpha 90.00
_cell_angle_beta 90.00
_cell_angle_gamma 90.00
loop_
_atom_site_label
_atom_site_fract_x
_atom_site_fract_y
_atom_site_fract_z
Y1 0.0000 0.0000 0.0000
As1 0.0000 0.5000 0.2427
P1 0.0000 0.0000 0.5000

***

# 5
# YAsP | Alexandria | PBE-GGA | relaxed
# Crystal system = trigonal
# Raw total energy = -54.0 eV for the cell shown
# ΔE to the lowest computed polymorph = 282 meV per atom
# M_tot = 0.000 μB/cell
data_YAsP
_chemical_formula_sum 'Y3 As3 P3'
_symmetry_space_group_name_H-M 'R 3 m'
_symmetry_Int_Tables_number 160
_symmetry_space_group_name_Hall 'R 3 -2"'
_cell_length_a 4.0388
_cell_length_b 4.0388
_cell_length_c 14.2697
_cell_angle_alpha 90.00
_cell_angle_beta 90.00
_cell_angle_gamma 120.00
loop_
_atom_site_label
_atom_site_fract_x
_atom_site_fract_y
_atom_site_fract_z
Y1 0.0000 0.0000 0.0000
As1 0.0000 0.0000 0.2021
P1 0.0000 0.0000 0.7909

***

# 6
# Y4As3P | Alexandria | PBE-GGA | relaxed
# Crystal system = orthorhombic
# Raw total energy = -115.6 eV for the cell shown
# M_tot = 0.000 μB/cell
data_Y4As3P
_chemical_formula_sum 'Y8 As6 P2'
_symmetry_space_group_name_H-M 'C m m m'
_symmetry_Int_Tables_number 65
_symmetry_space_group_name_Hall '-C 2 2'
_cell_length_a 8.2001
_cell_length_b 11.5869
_cell_length_c 4.0970
_cell_angle_alpha 90.00
_cell_angle_beta 90.00
_cell_angle_gamma 90.00
loop_
_atom_site_label
_atom_site_fract_x
_atom_site_fract_y
_atom_site_fract_z
Y1 0.0000 0.2476 0.0000
Y2 0.2453 0.0000 0.5000
As1 0.0000 0.5000 0.0000
As2 0.2500 0.2500 0.5000
P1 0.0000 0.0000 0.0000

***

# 7
# YAs2P | Alexandria | PBE-GGA | relaxed
# Crystal system = monoclinic
# Raw total energy = -47.4 eV for the cell shown
# M_tot = 0.000 μB/cell
data_YAs2P
_chemical_formula_sum 'Y2 As4 P2'
_symmetry_space_group_name_H-M 'C 1 2/m 1'
_symmetry_Int_Tables_number 12
_cell_length_a 11.1800
_cell_length_b 3.8794
_cell_length_c 4.1246
_cell_angle_alpha 90.00
_cell_angle_beta 99.43
_cell_angle_gamma 90.00
loop_
_symmetry_equiv_pos_as_xyz
'x,y,z'
'-x,-y,-z'
'-x,y,-z'
'x,-y,z'
'x+1/2,y+1/2,z'
'-x+1/2,-y+1/2,-z'
'-x+1/2,y+1/2,-z'
'x+1/2,-y+1/2,z'
loop_
_atom_site_label
_atom_site_fract_x
_atom_site_fract_y
_atom_site_fract_z
Y1 0.0000 0.0000 0.0000
As1 0.2297 0.5000 0.7929
P1 0.0000 0.5000 0.5000

***

# 8
# YAs2P | Alexandria | PBE-GGA | relaxed
# Crystal system = tetragonal
# Raw total energy = -23.8 eV for the cell shown
# M_tot = 0.000 μB/cell
data_YAs2P
_chemical_formula_sum 'Y1 As2 P1'
_symmetry_space_group_name_H-M 'P 4 m m'
_symmetry_Int_Tables_number 99
_cell_length_a 3.9553
_cell_length_b 3.9553
_cell_length_c 5.9101
_cell_angle_alpha 90.00
_cell_angle_beta 90.00
_cell_angle_gamma 90.00
loop_
_symmetry_equiv_pos_as_xyz
'x,y,z'
'-y,x,z'
'-x,-y,z'
'y,-x,z'
'-x,y,z'
'y,x,z'
'x,-y,z'
'-y,-x,z'
loop_
_atom_site_label
_atom_site_fract_x
_atom_site_fract_y
_atom_site_fract_z
Y1 0.0000 0.0000 0.0000
As1 0.0000 0.0000 0.4858
As2 0.5000 0.5000 0.3923
P1 0.5000 0.5000 0.9892

***

# 9
# YAsP | Alexandria | PBE-GGA | relaxed
# Crystal system = cubic
# Raw total energy = -69.5 eV for the cell shown
# ΔE to the lowest computed polymorph = 487 meV per atom
# M_tot = 0.000 μB/cell
data_YAsP
_chemical_formula_sum 'Y4 As4 P4'
_symmetry_space_group_name_H-M 'F -4 3 m'
_symmetry_Int_Tables_number 216
_symmetry_space_group_name_Hall 'F -4 2 3'
_cell_length_a 6.5873
_cell_length_b 6.5873
_cell_length_c 6.5873
_cell_angle_alpha 90.00
_cell_angle_beta 90.00
_cell_angle_gamma 90.00
loop_
_atom_site_label
_atom_site_fract_x
_atom_site_fract_y
_atom_site_fract_z
Y1 0.0000 0.0000 0.0000
As1 0.2500 0.2500 0.2500
P1 0.0000 0.0000 0.5000

***

# 10
# YAs2P | Alexandria | PBE-GGA | relaxed
# Crystal system = orthorhombic
# Raw total energy = -42.8 eV for the cell shown
# M_tot = 0.000 μB/cell
data_YAs2P
_chemical_formula_sum 'Y2 As4 P2'
_symmetry_space_group_name_H-M 'C m m m'
_symmetry_Int_Tables_number 65
_symmetry_space_group_name_Hall '-C 2 2'
_cell_length_a 3.9185
_cell_length_b 5.6073
_cell_length_c 7.6786
_cell_angle_alpha 90.00
_cell_angle_beta 90.00
_cell_angle_gamma 90.00
loop_
_atom_site_label
_atom_site_fract_x
_atom_site_fract_y
_atom_site_fract_z
Y1 0.0000 0.0000 0.0000
As1 0.0000 0.5000 0.2674
P1 0.0000 0.0000 0.5000

***

# 11
# Y5AsP4 | Alexandria | PBE-GGA | relaxed
# Crystal system = orthorhombic
# Raw total energy = -149.4 eV for the cell shown
# M_tot = 0.000 μB/cell
data_Y5AsP4
_chemical_formula_sum 'Y10 As2 P8'
_symmetry_space_group_name_H-M 'I m m m'
_symmetry_Int_Tables_number 71
_symmetry_space_group_name_Hall '-I 2 2'
_cell_length_a 4.0359
_cell_length_b 5.7083
_cell_length_c 20.1827
_cell_angle_alpha 90.00
_cell_angle_beta 90.00
_cell_angle_gamma 90.00
loop_
_atom_site_label
_atom_site_fract_x
_atom_site_fract_y
_atom_site_fract_z
Y1 0.0000 0.0000 0.0000
Y2 0.0000 0.0000 0.1996
Y3 0.0000 0.0000 0.3970
As1 0.0000 0.5000 0.0000
P1 0.0000 0.5000 0.2011
P2 0.0000 0.5000 0.3997

***

# 12
# YAs2P | Alexandria | PBE-GGA | relaxed
# Crystal system = orthorhombic
# Raw total energy = -46.1 eV for the cell shown
# M_tot = 0.000 μB/cell
data_YAs2P
_chemical_formula_sum 'Y2 As4 P2'
_symmetry_space_group_name_H-M 'I m m 2'
_symmetry_Int_Tables_number 44
_cell_length_a 3.7013
_cell_length_b 4.9025
_cell_length_c 8.7163
_cell_angle_alpha 90.00
_cell_angle_beta 90.00
_cell_angle_gamma 90.00
loop_
_symmetry_equiv_pos_as_xyz
'x,y,z'
'-x,-y,z'
'-x,y,z'
'x,-y,z'
'x+1/2,y+1/2,z+1/2'
'-x+1/2,-y+1/2,z+1/2'
'-x+1/2,y+1/2,z+1/2'
'x+1/2,-y+1/2,z+1/2'
loop_
_atom_site_label
_atom_site_fract_x
_atom_site_fract_y
_atom_site_fract_z
Y1 0.0000 0.0000 0.0000
As1 0.0000 0.0000 0.5105
As2 0.0000 0.5000 0.7842
P1 0.0000 0.5000 0.2175